Compound: Pm2Sm7Tm3
Source: Alexandria
Functional: PBE-GGA
Structure: optimized geometry

a = 5.8386 Å, b = 3.6192 Å, c = 18.9198 Å
α = 90.00°, β = 93.94°, γ = 90.00°
Closest atoms and distances in Å follow each position.
Sites, in units of the cell vectors:
Pm (0.2058, 0.0000, 0.2970)  3 Sm 3.15-3.42
Pm (0.7942, 0.0000, 0.7030)  3 Sm 3.15-3.42
Sm (0.1738, 0.5000, 0.1431)  2 Tm 3.36, 7 Sm 3.42-3.62, 2 Pm 3.42
Sm (0.2416, 0.0000, 0.4641)  1 Pm 3.15, 2 Sm 3.21-3.22
Sm (0.3231, 0.0000, 0.8205)  6 Sm 3.48-3.62, 2 Pm 3.65-3.68
Sm (0.5000, 0.5000, 0.0000)  4 Sm 3.42-3.62, 4 Tm 3.43
Sm (0.6769, 0.0000, 0.1795)  6 Sm 3.48-3.62, 2 Pm 3.65-3.68
Sm (0.7584, 0.0000, 0.5359)  1 Pm 3.15, 2 Sm 3.21-3.22
Sm (0.8262, 0.5000, 0.8569)  2 Tm 3.36, 7 Sm 3.42-3.62, 2 Pm 3.42
Tm (0.0000, 0.0000, 0.0000)  8 Sm 3.36-3.43, 2 Tm 3.62
Tm (0.2803, 0.5000, 0.6308)  2 Tm 3.62, 8 Sm 3.63-4.01, 4 Pm 3.69-3.71
Tm (0.7197, 0.5000, 0.3692)  2 Tm 3.62, 8 Sm 3.63-4.01, 4 Pm 3.69-3.71

- Magnetic moment: 0.00 μB per formula unit
- ΔE_f: 87 meV/atom
- Calculated density: 7699 kg/m³

=====

Compound: La2PrNd9
Source: Alexandria
Functional: PBE-GGA
Structure: optimized geometry

a = 5.2237 Å, b = 5.2237 Å, c = 15.6704 Å
α = 90.00°, β = 90.00°, γ = 90.00°
Closest atoms and distances in Å follow each position.
Sites, in units of the cell vectors:
La (0.0000, 0.0000, 0.1664)  12 Nd 3.69-3.70
La (0.0000, 0.0000, 0.8336)  12 Nd 3.69-3.70
Pr (0.0000, 0.0000, 0.5000)  12 Nd 3.69
Nd (0.0000, 0.5000, 0.0000)  4 La 3.69, 8 Nd 3.69-3.70
Nd (0.0000, 0.5000, 0.3339)  2 Pr 3.69, 8 Nd 3.69, 2 La 3.70
Nd (0.0000, 0.5000, 0.6661)  2 Pr 3.69, 8 Nd 3.69, 2 La 3.70
Nd (0.5000, 0.0000, 0.0000)  4 La 3.69, 8 Nd 3.69-3.70
Nd (0.5000, 0.0000, 0.3339)  2 Pr 3.69, 8 Nd 3.69, 2 La 3.70
Nd (0.5000, 0.0000, 0.6661)  2 Pr 3.69, 8 Nd 3.69, 2 La 3.70
Nd (0.5000, 0.5000, 0.1672)  8 Nd 3.69-3.70, 4 La 3.69
Nd (0.5000, 0.5000, 0.5000)  8 Nd 3.69, 4 Pr 3.69
Nd (0.5000, 0.5000, 0.8328)  8 Nd 3.69-3.70, 4 La 3.69

- Magnetic moment: 0.00 μB per formula unit
- ΔE_f: 13 meV/atom
- Calculated density: 6667 kg/m³